[1]
DFT (PBE) results for Rb2SbO3 after structural relaxation.

Cell lengths 6.8004, 6.8004, 7.6986 Å; angles 90.00, 90.00, 120.00 degrees
Space group P-3m1 (No. 164)
Symmetry-distinct sites (fractional):
Rb 0.0000 0.0000 0.0000 [1 per cell]
Rb 0.0000 0.0000 0.5000 [1 per cell]
Rb 0.3333 0.6667 0.1483 [2 per cell]
Sb 0.3333 0.6667 0.6762 [2 per cell]
O 0.1824 0.3648 0.7692 [6 per cell]

ΔE_f (raw), eV/atom: -1.3363
Crystal system: trigonal
Total magnetic moment, μB/cell: 2.005
E above lowest polymorph, meV per atom: 66

***

[2]
DFT (PBE) results for Co3Te after structural relaxation.

Cell lengths 3.009, 3.431, 5.291 Å; angles 90.00, 90.00, 90.00 degrees
Space group Pmmm (No. 47)
Symmetry-distinct sites (fractional):
Co 0.000 0.000 0.000 [1 per cell]
Co 0.500 0.500 0.227 [2 per cell]
Te 0.000 0.000 0.500 [1 per cell]

ΔE_f (raw), eV/atom: 0.3653
Crystal system: orthorhombic
Total magnetic moment, μB/cell: 3.728

***

[3]
DFT (PBE) results for Y2NiB2 after structural relaxation.

Cell lengths 6.500, 6.500, 3.695 Å; angles 90.00, 90.00, 90.00 degrees
Space group P4/mbm (No. 127)
Symmetry-distinct sites (fractional):
Y 0.189 0.311 0.000 [4 per cell]
Ni 0.000 0.000 0.500 [2 per cell]
B 0.092 0.592 0.500 [4 per cell]

ΔE_f, meV/atom: -231
Crystal system: tetragonal
Total magnetic moment, μB/cell: 0.000

***

[4]
DFT (PBE) results for CdAg2Sb after structural relaxation.

Cell lengths 11.024, 3.141, 5.067 Å; angles 90.00, 101.05, 90.00 degrees
Space group Cm (No. 8)
Symmetry-distinct sites (fractional):
Cd 0.000 0.000 0.000 [2 per cell]
Ag 0.259 0.500 0.190 [2 per cell]
Ag 0.473 0.000 0.482 [2 per cell]
Sb 0.215 0.000 0.669 [2 per cell]

ΔE_f (raw), eV/atom: 0.0611
Crystal system: monoclinic
Total magnetic moment, μB/cell: 0.000
E above lowest polymorph, meV per atom: 17

***

[5]
DFT (PBE) results for BaAcHg6 after structural relaxation.

Cell lengths 5.390, 7.300, 6.018 Å; angles 90.00, 90.00, 90.00 degrees
Space group Pmm2 (No. 25)
Symmetry-distinct sites (fractional):
Ba 0.000 0.000 0.000 [1 per cell]
Ac 0.500 0.500 0.282 [1 per cell]
Hg 0.000 0.263 0.484 [2 per cell]
Hg 0.000 0.500 0.939 [1 per cell]
Hg 0.500 0.000 0.380 [1 per cell]
Hg 0.500 0.262 0.798 [2 per cell]

ΔE_f, meV/atom: -416
Crystal system: orthorhombic
Total magnetic moment, μB/cell: 0.000
E above lowest polymorph, meV per atom: 0

***

[6]
DFT (PBE) results for Cs2RbBrF2 after structural relaxation.

Cell lengths 5.192, 5.192, 7.749 Å; angles 90.00, 90.00, 90.00 degrees
Space group P4/mmm (No. 123)
Symmetry-distinct sites (fractional):
Cs 0.000 0.000 0.240 [2 per cell]
Rb 0.500 0.500 0.000 [1 per cell]
Br 0.500 0.500 0.500 [1 per cell]
F 0.000 0.500 0.000 [2 per cell]

ΔE_f (raw), eV/atom: -2.2865
Crystal system: tetragonal
Total magnetic moment, μB/cell: 0.135